BaCo2Si | GGA-PBEsol | relaxed

Results
E = -5.63 eV per atom
total moment = 0.000 μB per cell
E_form (uncorrected) = 0.22 eV per atom

Cell lengths 2.9639, 2.9639, 7.2040 Å; angles 90.00, 90.00, 90.00 degrees
Space group P4/mmm (No. 123)
Symmetry-distinct sites (fractional):
Ba 0.0000 0.0000 0.0000 (multiplicity 1)
Co 0.5000 0.5000 0.3325 (multiplicity 2)
Si 0.0000 0.0000 0.5000 (multiplicity 1)

NaFeO2 | GGA-PBEsol | relaxed

Results
E = -6.52 eV per atom
total moment = 19.920 μB per cell
E_form (uncorrected) = -1.30 eV per atom

Cell lengths 5.1552, 5.1552, 8.1083 Å; angles 90.00, 90.00, 90.00 degrees
Space group I-42d (No. 122)
Symmetry-distinct sites (fractional):
Na 0.0000 0.0000 0.0000 (multiplicity 4)
Fe 0.0000 0.0000 0.5000 (multiplicity 4)
O 0.1813 0.2500 0.6250 (multiplicity 8)

BaZr2Sc | GGA-PBEsol | relaxed

Results
E_form = 2.43 eV per formula unit
E = -6.13 eV per atom
total moment = 0.000 μB per cell

Cell lengths 5.5324, 5.5324, 3.3492 Å; angles 90.00, 90.00, 90.00 degrees
Space group P4/mmm (No. 123)
Symmetry-distinct sites (fractional):
Ba 0.0000 0.0000 0.0000 (multiplicity 1)
Zr 0.0000 0.5000 0.5000 (multiplicity 2)
Sc 0.5000 0.5000 0.0000 (multiplicity 1)

Ca2YHg2 | GGA-PBEsol | relaxed

Results
E_form = -2.24 eV per formula unit
E = -2.89 eV per atom
total moment = 0.002 μB per cell

Cell lengths 8.1379, 8.1379, 4.2190 Å; angles 90.00, 90.00, 90.00 degrees
Space group P4/mbm (No. 127)
Symmetry-distinct sites (fractional):
Ca 0.1614 0.3386 0.0000 (multiplicity 4)
Y 0.0000 0.0000 0.5000 (multiplicity 2)
Hg 0.1386 0.6386 0.5000 (multiplicity 4)

LiAsCl2 | GGA-PBEsol | relaxed

Results
E = -3.28 eV per atom
total moment = 0.000 μB per cell
E_form (uncorrected) = -0.50 eV per atom
energy above the lowest structure with this stoichiometry = 30 meV per atom

Cell lengths 6.8712, 6.8712, 6.5940 Å; angles 90.00, 90.00, 90.00 degrees
Space group I-42d (No. 122)
Symmetry-distinct sites (fractional):
Li 0.0000 0.0000 0.0000 (multiplicity 4)
As 0.0000 0.0000 0.5000 (multiplicity 4)
Cl 0.2261 0.2500 0.1250 (multiplicity 8)

MnBi2Ir | GGA-PBEsol | relaxed

Results
E_form = 1.92 eV per formula unit
E = -6.56 eV per atom
total moment = 15.832 μB per cell

Cell lengths 6.8640, 6.8640, 6.8640 Å; angles 90.00, 90.00, 90.00 degrees
Space group Fm-3m (No. 225)
Symmetry-distinct sites (fractional):
Mn 0.0000 0.0000 0.0000 (multiplicity 4)
Bi 0.2500 0.2500 0.2500 (multiplicity 8)
Ir 0.0000 0.0000 0.5000 (multiplicity 4)

Ti2CoRe | GGA-PBEsol | relaxed

Results
E_form = -1.79 eV per formula unit
E = -9.88 eV per atom
total moment = 0.002 μB per cell

Cell lengths 6.0255, 6.0255, 6.0255 Å; angles 90.00, 90.00, 90.00 degrees
Space group Fm-3m (No. 225)
Symmetry-distinct sites (fractional):
Ti 0.2500 0.2500 0.2500 (multiplicity 8)
Co 0.0000 0.0000 0.0000 (multiplicity 4)
Re 0.0000 0.0000 0.5000 (multiplicity 4)

CaCuTc2 | GGA-PBEsol | relaxed

Results
E_form = 2.20 eV per formula unit
E = -6.70 eV per atom
total moment = 0.000 μB per cell
energy above the lowest structure with this stoichiometry = 91 meV per atom

Cell lengths 3.0803, 4.7479, 4.5422 Å; angles 90.00, 100.65, 90.00 degrees
Space group P2/m (No. 10)
Symmetry-distinct sites (fractional):
Ca 0.0000 0.0000 0.0000 (multiplicity 1)
Cu 0.5000 0.0000 0.5000 (multiplicity 1)
Tc 0.3334 0.5000 0.7232 (multiplicity 2)

CaCdOs2 | GGA-PBEsol | relaxed

Results
E_form = 2.64 eV per formula unit
E = -6.28 eV per atom
total moment = 0.002 μB per cell

Cell lengths 5.6551, 9.5932, 2.7479 Å; angles 90.00, 115.30, 90.00 degrees
Space group C2/m (No. 12)
Symmetry-distinct sites (fractional):
Ca 0.0000 0.0000 0.0000 (multiplicity 2)
Cd 0.0000 0.5000 0.0000 (multiplicity 2)
Os 0.2500 0.2500 0.5000 (multiplicity 4)

Ti5Mn7 | GGA-PBEsol | relaxed

Results
E_form = -2.80 eV per formula unit
E = -9.40 eV per atom
total moment = 0.012 μB per cell

Cell lengths 4.7428, 4.7428, 7.7916 Å; angles 90.00, 90.00, 120.00 degrees
Space group P-3m1 (No. 164)
Symmetry-distinct sites (fractional):
Ti 0.0000 0.0000 0.0000 (multiplicity 1)
Ti 0.3333 0.6667 0.5598 (multiplicity 2)
Ti 0.3333 0.6667 0.9296 (multiplicity 2)
Mn 0.0000 0.0000 0.5000 (multiplicity 1)
Mn 0.1731 0.3463 0.2575 (multiplicity 6)

Li4FeOF4 | GGA-PBEsol | relaxed

Results
E = -5.40 eV per atom
total moment = 8.000 μB per cell
E_form (uncorrected) = -2.43 eV per atom

Cell lengths 6.6964, 6.6964, 3.8683 Å; angles 90.00, 90.00, 90.00 degrees
Space group I4/m (No. 87)
Symmetry-distinct sites (fractional):
Li 0.0931 0.7070 0.0000 (multiplicity 8)
Fe 0.0000 0.0000 0.5000 (multiplicity 2)
O 0.0000 0.0000 0.0000 (multiplicity 2)
F 0.1051 0.6882 0.5000 (multiplicity 8)

Li2BeSb | GGA-PBEsol | relaxed

Results
E = -3.23 eV per atom
total moment = 0.000 μB per cell
E_form (uncorrected) = -0.11 eV per atom

Cell lengths 4.0481, 4.0481, 7.4668 Å; angles 90.00, 90.00, 90.00 degrees
Space group I-4m2 (No. 119)
Symmetry-distinct sites (fractional):
Li 0.0000 0.0000 0.0000 (multiplicity 2)
Li 0.0000 0.5000 0.2500 (multiplicity 2)
Be 0.0000 0.5000 0.7500 (multiplicity 2)
Sb 0.0000 0.0000 0.5000 (multiplicity 2)

Question: What is the total moment in the tenth record?
Answer: 0.012 μB per cell